Record 1
SmZn4Pd6 | GGA-PBE | optimized geometry

a b c (Å): 6.591 6.591 6.591
angles (deg): 122.42 122.42 85.85
Fractional positions:
Sm  0.000  0.000  0.000
Zn  0.252  0.252  0.686
Zn  0.434  0.748  0.000
Zn  0.566  0.566  0.314
Zn  0.748  0.434  0.000
Pd  0.000  0.500  0.500
Pd  0.099  0.533  0.000
Pd  0.467  0.467  0.566
Pd  0.500  0.000  0.500
Pd  0.533  0.099  0.000
Pd  0.901  0.901  0.434

Summary:
* E: -45.11 eV for the cell shown
* ΔH_f (0 K): -0.3758 eV/atom
* symmetry: I-42m, No. 121



Record 2
SmZn6Pd12 | GGA-PBE | optimized geometry

a b c (Å): 7.225 7.225 7.225
angles (deg): 106.26 106.26 106.26
Fractional positions:
Sm  0.000  0.000  0.000
Zn  0.281  0.281  0.706
Zn  0.281  0.706  0.281
Zn  0.294  0.719  0.719
Zn  0.706  0.281  0.281
Zn  0.719  0.294  0.719
Zn  0.719  0.719  0.294
Pd  0.118  0.500  0.882
Pd  0.118  0.882  0.500
Pd  0.143  0.388  0.388
Pd  0.388  0.143  0.388
Pd  0.388  0.388  0.143
Pd  0.500  0.118  0.882
Pd  0.500  0.882  0.118
Pd  0.612  0.612  0.857
Pd  0.612  0.857  0.612
Pd  0.857  0.612  0.612
Pd  0.882  0.118  0.500
Pd  0.882  0.500  0.118

Summary:
* E: -81.61 eV for the cell shown
* ΔH_f (0 K): -0.3647 eV/atom
* symmetry: R-3m, No. 166



Record 3
SmZn3Pd3 | GGA-PBE | optimized geometry

a b c (Å): 6.783 6.783 6.783
angles (deg): 90.00 90.00 90.00
Fractional positions:
Sm  0.000  0.000  0.000
Sm  0.500  0.500  0.500
Zn  0.000  0.250  0.500
Zn  0.000  0.750  0.500
Zn  0.250  0.500  0.000
Zn  0.500  0.000  0.250
Zn  0.500  0.000  0.750
Zn  0.750  0.500  0.000
Pd  0.000  0.500  0.250
Pd  0.000  0.500  0.750
Pd  0.250  0.000  0.500
Pd  0.500  0.250  0.000
Pd  0.500  0.750  0.000
Pd  0.750  0.000  0.500

Summary:
* E: -49.28 eV for the cell shown
* ΔH_f (0 K): -0.0740 eV/atom
* symmetry: Pm-3n, No. 223



Record 4
SmZn6Pd2 | GGA-PBE | optimized geometry

a b c (Å): 7.271 7.271 7.271
angles (deg): 149.78 124.08 64.89
Fractional positions:
Sm  0.000  0.000  0.000
Zn  0.007  0.313  0.694
Zn  0.326  0.500  0.826
Zn  0.382  0.687  0.694
Zn  0.618  0.313  0.306
Zn  0.674  0.500  0.174
Zn  0.993  0.687  0.306
Pd  0.376  0.876  0.500
Pd  0.624  0.124  0.500

Summary:
* E: -25.43 eV for the cell shown
* ΔH_f (0 K): -0.2976 eV/atom
* symmetry: Immm, No. 71



Record 5
Sm3Zn8Pd | GGA-PBE | optimized geometry

a b c (Å): 9.556 9.556 9.556
angles (deg): 32.57 32.57 32.57
Fractional positions:
Sm  0.000  0.000  0.000
Sm  0.127  0.127  0.127
Sm  0.615  0.615  0.615
Zn  0.058  0.058  0.559
Zn  0.058  0.559  0.058
Zn  0.064  0.561  0.561
Zn  0.309  0.309  0.309
Zn  0.559  0.058  0.058
Zn  0.561  0.064  0.561
Zn  0.561  0.561  0.064
Zn  0.811  0.811  0.811
Pd  0.503  0.503  0.503

Summary:
* E: -33.68 eV for the cell shown
* ΔH_f (0 K): -0.3446 eV/atom
* symmetry: R3m, No. 160



Record 6
SmZn9Pd2 | GGA-PBE | optimized geometry

a b c (Å): 8.258 8.258 8.258
angles (deg): 100.18 100.18 130.29
Fractional positions:
Sm  0.375  0.625  0.750
Sm  0.625  0.375  0.250
Zn  0.125  0.875  0.250
Zn  0.133  0.556  0.335
Zn  0.133  0.798  0.578
Zn  0.202  0.279  0.335
Zn  0.202  0.867  0.922
Zn  0.279  0.202  0.835
Zn  0.279  0.444  0.078
Zn  0.444  0.279  0.578
Zn  0.444  0.867  0.165
Zn  0.556  0.133  0.835
Zn  0.556  0.721  0.422
Zn  0.721  0.556  0.922
Zn  0.721  0.798  0.165
Zn  0.798  0.133  0.078
Zn  0.798  0.721  0.665
Zn  0.867  0.202  0.422
Zn  0.867  0.444  0.665
Zn  0.875  0.125  0.750
Pd  0.000  0.000  0.000
Pd  0.000  0.000  0.500
Pd  0.000  0.500  0.000
Pd  0.500  0.000  0.500

Summary:
* E: -61.96 eV for the cell shown
* ΔH_f (0 K): -0.3674 eV/atom
* symmetry: I4_1/amd, No. 141



Record 7
SmZn12Pd4 | GGA-PBE | optimized geometry

a b c (Å): 7.539 7.539 7.539
angles (deg): 109.47 109.47 109.47
Fractional positions:
Sm  0.000  0.000  0.000
Zn  0.151  0.351  0.502
Zn  0.151  0.649  0.799
Zn  0.201  0.849  0.351
Zn  0.351  0.201  0.849
Zn  0.351  0.502  0.151
Zn  0.498  0.849  0.649
Zn  0.502  0.151  0.351
Zn  0.649  0.498  0.849
Zn  0.649  0.799  0.151
Zn  0.799  0.151  0.649
Zn  0.849  0.351  0.201
Zn  0.849  0.649  0.498
Pd  0.000  0.000  0.500
Pd  0.000  0.500  0.000
Pd  0.500  0.000  0.000
Pd  0.500  0.500  0.500

Summary:
* E: -41.42 eV for the cell shown
* ΔH_f (0 K): -0.0380 eV/atom
* symmetry: Im-3, No. 204



Record 8
SmZn4Pd2 | GGA-PBE | optimized geometry

a b c (Å): 5.968 5.968 5.968
angles (deg): 102.83 102.83 123.77
Fractional positions:
Sm  0.000  0.000  0.000
Zn  0.267  0.500  0.767
Zn  0.500  0.267  0.767
Zn  0.500  0.733  0.233
Zn  0.733  0.500  0.233
Pd  0.250  0.750  0.500
Pd  0.750  0.250  0.500

Summary:
* E: -20.41 eV for the cell shown
* ΔH_f (0 K): -0.0293 eV/atom
* symmetry: I4/mmm, No. 139



Q: Which formula does entry 2 have?
A: SmZn6Pd12



Q: Among the records above, which one has the lowest ΔH_f (0 K)?
A: SmZn4Pd6